Entry 1:
Material: LiRe
Method: DFT, PBE
State: optimized geometry

Structure (POSCAR):
```
LiRe
1.0
3.5627 0.0000 0.0000
-1.7814 3.0854 0.0000
0.0000 0.0000 4.5987
Li Re
2 2
direct
0.0000 0.0000 0.0000
0.0000 0.0000 0.5000
0.3333 0.6667 0.2500
0.6667 0.3333 0.7500
```

Summary:
symmetry = P6_3/mmc
DFT total energy = -5.65 eV/atom
V = 25.3 Å³/f.u.
magnetization = 0.00 μB/cell
ΔH_f (0 K) = 1.526 eV/atom
calculated density = 12.7 g/cm³



Entry 2:
Material: Li4Re
Method: DFT, PBE
State: optimized geometry

Structure (POSCAR):
```
Li4Re
1.0
6.1003 0.0000 0.0000
0.0000 6.1003 0.0000
0.0000 0.0000 6.1003
Li Re
8 2
direct
0.2500 0.2500 0.2500
0.2500 0.2500 0.7500
0.2500 0.7500 0.2500
0.2500 0.7500 0.7500
0.7500 0.2500 0.2500
0.7500 0.2500 0.7500
0.7500 0.7500 0.2500
0.7500 0.7500 0.7500
0.0000 0.0000 0.0000
0.5000 0.5000 0.5000
```

Summary:
symmetry = Im-3m
DFT total energy = -2.96 eV/atom
V = 113.5 Å³/f.u.
magnetization = 5.20 μB/cell
ΔH_f (0 K) = 1.064 eV/atom
calculated density = 3.1 g/cm³



Entry 3:
Material: LiRe
Method: DFT, PBE
State: optimized geometry

Structure (POSCAR):
```
LiRe
1.0
2.5185 0.0000 0.0000
0.0000 2.5185 0.0000
0.0000 0.0000 4.5541
Li Re
1 1
direct
0.0000 0.0000 0.0000
0.5000 0.5000 0.5000
```

Summary:
symmetry = P4/mmm
DFT total energy = -6.79 eV/atom
V = 28.9 Å³/f.u.
magnetization = 0.00 μB/cell
ΔH_f (0 K) = 0.394 eV/atom
calculated density = 11.1 g/cm³



Entry 4:
Material: LiRe
Method: DFT, PBE
State: optimized geometry

Structure (POSCAR):
```
LiRe
1.0
4.4901 0.0000 0.0000
0.0000 12.4905 0.0000
0.0000 0.0000 2.7460
Li Re
6 6
direct
0.2500 0.1125 0.0201
0.2500 0.2500 0.5570
0.2500 0.3875 0.0201
0.7500 0.6125 0.9799
0.7500 0.7500 0.4430
0.7500 0.8875 0.9799
0.2500 0.5629 0.4453
0.2500 0.7500 0.8985
0.2500 0.9371 0.4453
0.7500 0.0629 0.5547
0.7500 0.2500 0.1015
0.7500 0.4371 0.5547
```

Summary:
symmetry = Pmmn
DFT total energy = -6.85 eV/atom
V = 25.7 Å³/f.u.
magnetization = 0.00 μB/cell
ΔH_f (0 K) = 0.332 eV/atom
calculated density = 12.5 g/cm³



Entry 5:
Material: Li3Re
Method: DFT, PBE
State: optimized geometry

Structure (POSCAR):
```
Li3Re
1.0
8.6744 0.0000 0.0000
0.0000 7.6954 0.0000
0.0000 0.0000 3.8733
Li Re
12 4
direct
0.0000 0.1430 0.2500
0.0000 0.8570 0.7500
0.2501 0.1276 0.7500
0.2499 0.3724 0.2500
0.2499 0.6276 0.7500
0.2501 0.8724 0.2500
0.5000 0.3570 0.7500
0.5000 0.6430 0.2500
0.7499 0.1276 0.7500
0.7501 0.3724 0.2500
0.7501 0.6276 0.7500
0.7499 0.8724 0.2500
0.0000 0.4109 0.7500
0.0000 0.5891 0.2500
0.5000 0.0891 0.2500
0.5000 0.9109 0.7500
```

Summary:
symmetry = Cmcm
DFT total energy = -4.26 eV/atom
V = 64.6 Å³/f.u.
magnetization = 0.00 μB/cell
ΔH_f (0 K) = 0.283 eV/atom
calculated density = 5.3 g/cm³



Entry 6:
Material: Li3Re
Method: DFT, PBE
State: optimized geometry

Structure (POSCAR):
```
Li3Re
1.0
9.5181 0.0000 0.0000
0.0000 2.4834 0.0000
-0.5906 0.0000 5.0686
Li Re
6 2
direct
0.0000 0.0000 0.0000
0.2476 0.0000 0.7277
0.2524 0.5000 0.2723
0.5000 0.5000 0.0000
0.7476 0.5000 0.7277
0.7524 0.0000 0.2723
0.0000 0.5000 0.5000
0.5000 0.0000 0.5000
```

Summary:
symmetry = C2/m
DFT total energy = -4.18 eV/atom
V = 59.9 Å³/f.u.
magnetization = 0.00 μB/cell
ΔH_f (0 K) = 0.367 eV/atom
calculated density = 5.7 g/cm³



Entry 7:
Material: Li4Re
Method: DFT, PBE
State: optimized geometry

Structure (POSCAR):
```
Li4Re
1.0
4.9896 0.0000 0.0000
0.0000 4.9896 0.0000
0.0000 0.0000 4.9896
Li Re
4 1
direct
0.0000 0.0000 0.0000
0.0000 0.5000 0.5000
0.5000 0.0000 0.5000
0.5000 0.5000 0.0000
0.5000 0.5000 0.5000
```

Summary:
symmetry = Pm-3m
DFT total energy = -2.81 eV/atom
V = 124.2 Å³/f.u.
magnetization = 2.56 μB/cell
ΔH_f (0 K) = 1.209 eV/atom
calculated density = 2.9 g/cm³



Entry 8:
Material: Li3Re
Method: DFT, PBE
State: optimized geometry

Structure (POSCAR):
```
Li3Re
1.0
2.7277 0.0000 0.0000
-1.3639 2.3623 0.0000
0.0000 0.0000 29.6368
Li Re
9 3
direct
0.0000 0.0000 0.0000
0.0000 0.0000 0.2432
0.0000 0.0000 0.7568
0.3333 0.6667 0.4235
0.3333 0.6667 0.6667
0.3333 0.6667 0.9098
0.6667 0.3333 0.0902
0.6667 0.3333 0.3333
0.6667 0.3333 0.5765
0.0000 0.0000 0.5000
0.3333 0.6667 0.1667
0.6667 0.3333 0.8333
```

Summary:
symmetry = R-3m
DFT total energy = -4.33 eV/atom
V = 63.7 Å³/f.u.
magnetization = 0.57 μB/cell
ΔH_f (0 K) = 0.221 eV/atom
calculated density = 5.4 g/cm³



Entry 9:
Material: LiRe
Method: DFT, PBE
State: optimized geometry

Structure (POSCAR):
```
LiRe
1.0
2.9788 0.0000 0.0000
0.0000 14.6257 0.0000
0.0000 0.0000 3.0316
Li Re
4 4
direct
0.0000 0.0760 0.2500
0.0000 0.9240 0.7500
0.5000 0.4240 0.7500
0.5000 0.5760 0.2500
0.0000 0.2973 0.2500
0.0000 0.7027 0.7500
0.5000 0.2027 0.7500
0.5000 0.7973 0.2500
```

Summary:
symmetry = Cmcm
DFT total energy = -6.84 eV/atom
V = 33.0 Å³/f.u.
magnetization = 0.00 μB/cell
ΔH_f (0 K) = 0.343 eV/atom
calculated density = 9.7 g/cm³



Entry 10:
Material: Li3Re
Method: DFT, PBE
State: optimized geometry

Structure (POSCAR):
```
Li3Re
1.0
3.6626 0.0000 0.0000
0.0000 3.6626 0.0000
0.0000 0.0000 8.5701
Li Re
6 2
direct
0.0000 0.0000 0.0000
0.0000 0.5000 0.2500
0.0000 0.5000 0.7500
0.5000 0.0000 0.2500
0.5000 0.0000 0.7500
0.5000 0.5000 0.5000
0.0000 0.0000 0.5000
0.5000 0.5000 0.0000
```

Summary:
symmetry = I4/mmm
DFT total energy = -3.70 eV/atom
V = 57.5 Å³/f.u.
magnetization = 3.82 μB/cell
ΔH_f (0 K) = 0.846 eV/atom
calculated density = 6.0 g/cm³